[1]
PBE SrYPb2, relaxed; crystal system = monoclinic; total energy = -17.5 eV per formula unit
1.0
4.5232 0.0000 0.0000
0.0000 3.6547 -0.0119
0.0000 3.6500 7.5788
Pb Y Sr
2 1 1
Direct
0.0000 0.0264 0.9748
0.0000 0.4736 0.5252
0.5000 0.7500 0.7500
0.5000 0.2500 0.2500



[2]
PBE SrY3Pb, relaxed; crystal system = cubic; total energy = -23.8 eV per formula unit
1.0
-2.8986 -0.8296 5.0994
5.1546 -0.0693 2.9187
-0.3491 5.8652 0.7558
Pb Y Sr
1 3 1
Direct
0.0000 0.0000 0.0000
0.0000 0.5000 0.0000
0.0000 0.0000 0.5000
0.5000 0.0000 0.0000
0.5000 0.5000 0.5000



[3]
PBE SrYPb2, relaxed; crystal system = tetragonal; total energy = -15.8 eV per formula unit
1.0
5.5173 0.0000 0.0000
0.0000 5.5173 0.0000
2.7586 2.7586 10.4567
Pb Y Sr
4 2 2
Direct
0.7021 0.1250 0.2500
0.0479 0.6250 0.2500
0.3750 0.2979 0.7500
0.8750 0.9521 0.7500
0.0000 0.0000 0.0000
0.7500 0.2500 0.5000
0.5000 0.5000 0.0000
0.2500 0.7500 0.5000



[4]
PBE SrYPb2, relaxed; crystal system = orthorhombic; total energy = -16.1 eV per formula unit
1.0
-0.7183 0.2838 -3.8791
-3.1016 -2.4323 0.3284
-5.2784 6.9315 1.4846
Pb Sr Y
2 1 1
Direct
0.0000 0.0000 0.0087
0.5000 0.5000 0.2090
0.0000 0.0000 0.4779
0.5000 0.5000 0.8044



[5]
PBE SrYPb2, relaxed; crystal system = tetragonal; total energy = -16.4 eV per formula unit
1.0
4.5532 0.0000 0.0000
0.0000 4.5532 0.0000
0.0000 0.0000 6.7011
Pb Sr Y
2 1 1
Direct
0.0000 0.0000 0.9353
0.5000 0.5000 0.2867
0.0000 0.0000 0.4496
0.5000 0.5000 0.8284



[6]
PBE SrYPb2, relaxed; crystal system = orthorhombic; total energy = -14.8 eV per formula unit
1.0
5.9064 -3.6502 -2.7834
-3.2911 6.1138 2.7834
-2.6193 0.1606 7.0050
Sr Y Pb
1 1 2
Direct
0.0000 0.0000 0.0000
0.0000 0.5000 0.5000
0.0000 0.2581 0.2581
0.0000 0.7419 0.7419



[7]
PBE Sr2Y2Pb, relaxed; crystal system = tetragonal; energy above the most stable polymorph in this dataset = 399 meV per atom
1.0
4.5957 0.0000 0.0000
0.0000 4.5957 0.0000
2.2979 2.2979 9.0223
Pb Y Sr
1 2 2
Direct
0.0000 0.0000 0.0000
0.4185 0.4185 0.1630
0.5815 0.5815 0.8370
0.7500 0.2500 0.5000
0.2500 0.7500 0.5000



[8]
PBE SrYPb2, relaxed; crystal system = orthorhombic; total energy = -17.2 eV per formula unit
1.0
-4.5311 -3.1075 3.9915
-5.4193 -4.0899 -0.1542
1.2702 -4.7157 0.8453
Pb Sr Y
2 1 1
Direct
0.0294 0.0294 0.9709
0.7389 0.7389 0.7607
0.4883 0.4883 0.5119
0.2433 0.2433 0.2566



[9]
PBE SrY2Pb9, relaxed; crystal system = tetragonal; total energy = -51.8 eV per formula unit
1.0
4.9850 0.0000 0.0000
0.0000 4.9850 0.0000
0.0000 0.0000 14.4982
Sr Y Pb
1 2 9
Direct
0.0000 0.0000 0.0000
0.0000 0.0000 0.3394
0.0000 0.0000 0.6606
0.5000 0.5000 0.0000
0.5000 0.5000 0.3359
0.5000 0.5000 0.6641
0.5000 0.0000 0.1734
0.5000 0.0000 0.5000
0.5000 0.0000 0.8266
0.0000 0.5000 0.1734
0.0000 0.5000 0.5000
0.0000 0.5000 0.8266



[10]
PBE SrYPb2, relaxed; crystal system = tetragonal; total energy = -17.5 eV per formula unit
1.0
3.6611 -0.0023 0.0000
0.0024 3.6611 0.0000
0.0000 0.0000 9.2668
Pb Y Sr
2 1 1
Direct
0.0000 0.0000 0.9848
0.0000 0.0000 0.5152
0.5000 0.5000 0.7500
0.5000 0.5000 0.2500



[11]
PBE SrYPb2, relaxed; crystal system = monoclinic; total energy = -17.3 eV per formula unit
1.0
5.9116 -0.0049 0.0081
-4.7470 6.8297 -0.0294
0.0100 1.9216 3.0729
Pb Sr Y
2 1 1
Direct
0.0000 0.0000 0.0000
0.0000 0.5000 0.5000
0.5000 0.5000 0.0000
0.5000 0.0000 0.5000



[12]
PBE Sr4YPb, relaxed; crystal system = cubic; total energy = -14.8 eV per formula unit
1.0
-3.7659 -3.9814 4.6682
-3.4746 3.1690 5.4507
-7.1930 0.2933 -0.0017
Sr Y Pb
4 1 1
Direct
0.8740 0.3753 0.3753
0.3753 0.3753 0.8740
0.3753 0.8740 0.3753
0.3753 0.3753 0.3753
0.7500 0.7500 0.7500
0.0000 0.0000 0.0000